(1)
La2YCdP | GGA-PBE | relaxed

## Properties
As for the formation energy from the elements: 400 meV per atom. The value obtained for the calculated density is 4.50 Mg/m³. The calculation puts the total energy at -4.13 eV/atom.

a b c (Å): 5.837 5.837 5.530
angles (deg): 90.00 90.00 90.00
Space group P4/mmm (No. 123)
Inequivalent atoms, fractional coordinates:
La 0.000 0.500 0.000 (multiplicity 2)
Y 0.000 0.000 0.500 (multiplicity 1)
Cd 0.000 0.000 0.000 (multiplicity 1)
P 0.500 0.500 0.500 (multiplicity 1)

---

(2)
LaPaCd4 | GGA-PBE | relaxed

## Properties
As for the formation energy from the elements: -26 meV per atom. The value obtained for the calculated density is 9.00 Mg/m³. The calculation puts the total energy at -3.04 eV/atom.

a b c (Å): 8.457 8.457 8.457
angles (deg): 90.00 90.00 90.00
Space group F-43m (No. 216)
Inequivalent atoms, fractional coordinates:
La 0.000 0.000 0.000 (multiplicity 4)
Pa 0.250 0.250 0.250 (multiplicity 4)
Cd 0.125 0.125 0.625 (multiplicity 16)

---

(3)
La2PaCd | GGA-PBE | relaxed

## Properties
As for the formation energy from the elements: -27 meV per atom. The value obtained for the calculated density is 8.85 Mg/m³. The calculation puts the total energy at -5.09 eV/atom. As for the energy above the most stable polymorph in this dataset: 0.0 kJ per mole of atoms.

a b c (Å): 3.450 3.450 9.793
angles (deg): 90.00 90.00 90.00
Space group P4/mmm (No. 123)
Inequivalent atoms, fractional coordinates:
La 0.000 0.000 0.248 (multiplicity 2)
Pa 0.500 0.500 0.000 (multiplicity 1)
Cd 0.500 0.500 0.500 (multiplicity 1)

---

(4)
La2PaCd | GGA-PBE | relaxed

## Properties
As for the formation energy from the elements: 213 meV per atom. The value obtained for the calculated density is 9.06 Mg/m³. The calculation puts the total energy at -4.85 eV/atom. As for the energy above the most stable polymorph in this dataset: 23.1 kJ per mole of atoms.

a b c (Å): 3.2737 3.2737 36.8083
angles (deg): 90.00 90.00 120.00
Space group R-3m (No. 166, hexagonal axes)
Inequivalent atoms, fractional coordinates:
La 0.0000 0.0000 0.0863 (multiplicity 6)
Pa 0.0000 0.0000 0.0000 (multiplicity 3)
Cd 0.0000 0.0000 0.5000 (multiplicity 3)

---

(5)
La2PaCd | GGA-PBE | relaxed

## Properties
As for the formation energy from the elements: 48 meV per atom. The value obtained for the calculated density is 8.90 Mg/m³. The calculation puts the total energy at -5.02 eV/atom. As for the energy above the most stable polymorph in this dataset: 7.2 kJ per mole of atoms.

a b c (Å): 5.835 5.835 3.405
angles (deg): 90.00 90.00 90.00
Space group P4/mmm (No. 123)
Inequivalent atoms, fractional coordinates:
La 0.000 0.500 0.000 (multiplicity 2)
Pa 0.000 0.000 0.500 (multiplicity 1)
Cd 0.500 0.500 0.500 (multiplicity 1)

---

(6)
LaCdPb | GGA-PBE | relaxed

## Properties
As for the formation energy from the elements: -415 meV per atom. The value obtained for the calculated density is 8.63 Mg/m³. The calculation puts the total energy at -3.60 eV/atom.

a b c (Å): 5.102 7.820 8.844
angles (deg): 90.00 90.00 90.00
Space group Imm2 (No. 44)
Inequivalent atoms, fractional coordinates:
La 0.000 0.000 0.000 (multiplicity 2)
La 0.000 0.500 0.032 (multiplicity 2)
Cd 0.000 0.306 0.685 (multiplicity 4)
Pb 0.000 0.246 0.352 (multiplicity 4)